This record from Alexandria via LeMat-Bulk describes NiF3 after structural relaxation. The functional is PBE with a Hubbard U.

Results
* DFT total energy: -3.325 eV/atom
* Fermi-level density of states: 2.91 states/eV/cell
* M_tot: 2.9 μB per cell

abc: 2.912 4.041 4.796
angles: 114.92 107.68 90.00
Positions (direct):
F 0.661 0.078 0.322
Ni 0.000 0.917 0.000
F 0.339 0.756 0.678
F 0.500 0.417 0.000